Entry 1:
KPtI3 | PBEsol | relaxed

Cell: 5.507 5.507 5.507 Å, 90.00 90.00 90.00°
Sites, in units of the cell vectors:
I 0.000 0.500 0.000
I 0.000 0.000 0.500
I 0.500 0.000 0.000
K 0.500 0.500 0.500
Pt 0.000 0.000 0.000

Calculated values
Raw total energy = -3.25 eV/atom
Raw formation energy = -0.571 eV/atom


Entry 2:
KRbI2 | PBEsol | relaxed

Cell: 6.070 6.070 6.070 Å, 60.00 60.00 60.00°
Sites, in units of the cell vectors:
I 0.250 0.250 0.250
I 0.750 0.750 0.750
K 0.000 0.000 0.000
Rb 0.500 0.500 0.500

Calculated values
Raw total energy = -2.85 eV/atom
Raw formation energy = -1.430 eV/atom
ΔE to the lowest computed polymorph = 0.0 meV/atom


Entry 3:
KRb3I | PBEsol | relaxed

Cell: 7.186 7.186 7.186 Å, 90.00 90.00 90.00°
Sites, in units of the cell vectors:
I 0.000 0.000 0.000
K 0.500 0.500 0.500
Rb 0.000 0.500 0.000
Rb 0.000 0.000 0.500
Rb 0.500 0.000 0.000

Calculated values
Raw total energy = -1.71 eV/atom
Raw formation energy = -0.518 eV/atom


Entry 4:
KRbI2 | PBEsol | relaxed

Cell: 8.062 8.062 9.734 Å, 114.46 114.46 90.00°
Sites, in units of the cell vectors:
I 0.390 0.875 0.250
I 0.860 0.375 0.250
I 0.125 0.140 0.750
I 0.625 0.610 0.750
K 0.750 0.250 0.500
K 0.500 0.500 0.000
Rb 0.250 0.750 0.500
Rb 0.000 0.000 0.000

Calculated values
Raw total energy = -2.78 eV/atom
Raw formation energy = -1.353 eV/atom
ΔE to the lowest computed polymorph = 77.0 meV/atom


Entry 5:
KRb2ScI6 | PBEsol | relaxed

Cell: 8.628 8.628 8.628 Å, 60.00 60.00 60.00°
Sites, in units of the cell vectors:
K 0.500 0.500 0.500
Rb 0.750 0.750 0.750
Rb 0.250 0.250 0.250
Sc 0.000 0.000 0.000
I 0.767 0.233 0.233
I 0.767 0.767 0.233
I 0.233 0.767 0.767
I 0.767 0.233 0.767
I 0.233 0.767 0.233
I 0.233 0.233 0.767

Calculated values
Raw total energy = -3.37 eV/atom
Raw formation energy = -1.328 eV/atom


Entry 6:
KReI2 | PBEsol | relaxed

Cell: 5.172 5.172 5.172 Å, 60.00 60.00 60.00°
Sites, in units of the cell vectors:
I 0.250 0.250 0.250
I 0.750 0.750 0.750
Re 0.500 0.500 0.500
K 0.000 0.000 0.000

Calculated values
Raw total energy = -3.59 eV/atom
Raw formation energy = 0.907 eV/atom